[1]
Below is a relaxed LiAc3Sm3Se8 crystal, with properties calculated at the PBE level.

Cell: 8.5124 8.5120 8.6278 Å, 119.55 90.00 120.00°
Sites, in units of the cell vectors:
Li1 0.0000 0.0000 0.5000
Ac1 0.0000 0.0000 0.0000
Ac2 0.0000 0.5000 0.0000
Ac3 0.5000 0.5000 0.0000
Sm1 0.5000 0.0000 0.5000
Sm2 0.5000 0.5000 0.5000
Sm3 0.0000 0.5000 0.5000
Se1 0.2566 0.5132 0.2698
Se2 0.7434 0.4868 0.7302
Se3 0.7576 0.5153 0.2699
Se4 0.2424 0.4847 0.7301
Se5 0.7575 0.0124 0.2699
Se6 0.2425 0.9876 0.7301
Se7 0.2548 0.0124 0.2699
Se8 0.7452 0.9876 0.7301

Output
E_form (uncorrected): -1.824 eV per atom
space group: No. 166
DOS(E_F): 4.58 states/eV/cell

***

[2]
Below is a relaxed PtAu2Br6 crystal, with properties calculated at the PBE level.

Cell: 12.9525 7.3419 7.3419 Å, 107.64 93.16 93.16°
Sites, in units of the cell vectors:
Pt1 0.2500 0.0693 0.9307
Pt2 0.7500 0.9307 0.0693
Au1 0.2084 0.7395 0.6465
Au2 0.2916 0.3535 0.2605
Au3 0.7916 0.2605 0.3535
Au4 0.7084 0.6465 0.7395
Br1 0.3812 0.6618 0.5035
Br2 0.1188 0.4965 0.3382
Br3 0.6188 0.3382 0.4965
Br4 0.8812 0.5035 0.6618
Br5 0.8774 0.8572 0.2916
Br6 0.6226 0.7084 0.1428
Br7 0.1226 0.1428 0.7084
Br8 0.3774 0.2916 0.8572
Br9 0.1185 0.8186 0.9601
Br10 0.3815 0.0399 0.1814
Br11 0.8815 0.1814 0.0399
Br12 0.6185 0.9601 0.8186

Output
E_form (uncorrected): -0.080 eV per atom
space group: No. 15
offset from the most stable computed form: 31 meV/atom
DOS(E_F): 1.96 states/eV/cell

***

[3]
Below is a relaxed Ca2CoPb crystal, with properties calculated at the PBE level.

Cell: 5.2052 5.2054 3.8125 Å, 89.99 89.99 90.19°
Last column: magnetic moment on the atom in μB.
Sites, in units of the cell vectors:
Pb1 0.0000 0.5000 0.5000  0.01
Ca1 0.0000 0.0000 0.0000  -0.03
Ca2 0.5000 0.5000 0.0000  -0.03
Co1 0.5000 0.0000 0.5000  1.68

Output
space group: No. 65
formation enthalpy at 0 K: 25 meV/atom
DOS(E_F): 2.01 states/eV/cell

***

[4]
Below is a relaxed NdSm4In crystal, with properties calculated at the PBE level.

Cell: 4.8901 10.1025 8.0264 Å, 90.00 107.74 90.00°
Sites, in units of the cell vectors:
Nd1 0.6689 0.6960 0.3378
Nd2 0.3311 0.1960 0.6622
Sm1 0.0008 0.1975 0.0015
Sm2 0.9992 0.6975 0.9985
Sm3 0.4936 0.9474 0.9872
Sm4 0.5064 0.4474 0.0128
Sm5 0.8273 0.4473 0.6546
Sm6 0.1727 0.9473 0.3454
Sm7 0.6681 0.1987 0.3361
Sm8 0.3319 0.6987 0.6639
In1 0.8329 0.9465 0.6659
In2 0.1671 0.4465 0.3341

Output
space group: No. 36
offset from the most stable computed form: 6 meV/atom
formation enthalpy at 0 K: -137 meV/atom
DOS(E_F): 14.27 states/eV/cell

***

- DOS(E_F) of number 4 (NdSm4In)?
  14.27 states/eV/cell

***

- Which of these has the highest DOS(E_F)?
  NdSm4In